Entry 1:
# Na2AcSn2Hg2, relaxed, DFT GGA-PBE
data_Na2AcSn2Hg2
_chemical_formula_sum 'Na6 Ac3 Sn6 Hg6'
_symmetry_space_group_name_H-M 'R -3 m'
_symmetry_Int_Tables_number 166
_symmetry_space_group_name_Hall '-R 3 2"'
_cell_length_a 4.9365
_cell_length_b 4.9365
_cell_length_c 27.4733
_cell_angle_alpha 90.00
_cell_angle_beta 90.00
_cell_angle_gamma 120.00
loop_
_atom_site_label
_atom_site_type_symbol
_atom_site_fract_x
_atom_site_fract_y
_atom_site_fract_z
Na1 Na 0.0000 0.0000 0.1433
Ac1 Ac 0.0000 0.0000 0.0000
Sn1 Sn 0.0000 0.0000 0.2633
Hg1 Hg 0.0000 0.0000 0.4336
# E ... -0.094 Ha/atom

***

Entry 2:
# Y3VRh, relaxed, DFT GGA-PBE
data_Y3VRh
_chemical_formula_sum 'Y3 V1 Rh1'
_symmetry_space_group_name_H-M 'P m -3 m'
_symmetry_Int_Tables_number 221
_symmetry_space_group_name_Hall '-P 4 2 3'
_cell_length_a 5.3253
_cell_length_b 5.3253
_cell_length_c 5.3253
_cell_angle_alpha 90.00
_cell_angle_beta 90.00
_cell_angle_gamma 90.00
loop_
_atom_site_label
_atom_site_type_symbol
_atom_site_fract_x
_atom_site_fract_y
_atom_site_fract_z
Y1 Y 0.0000 0.0000 0.5000
V1 V 0.5000 0.5000 0.5000
Rh1 Rh 0.0000 0.0000 0.0000
# Distance to the lowest polymorph of the same formula ... 0.00 kJ/mol of atoms
# E ... -0.258 Ha/atom